VASP calculation (PBE) on an optimized crystal structure of Li2Cu3Ge2.

```
data_Li2Cu3Ge2
_chemical_formula_sum 'Li4 Cu6 Ge4'
_cell_length_a 7.9409
_cell_length_b 3.9010
_cell_length_c 6.3294
_cell_angle_alpha 90.00
_cell_angle_beta 100.36
_cell_angle_gamma 90.00
_symmetry_space_group_name_H-M 'C 1 2/m 1'
_symmetry_Int_Tables_number 12
_symmetry_space_group_name_Hall '-C 2y'
loop_
_atom_site_label
_atom_site_fract_x
_atom_site_fract_y
_atom_site_fract_z
Li1 0.1468 0.0000 0.4175
Cu1 0.0000 0.0000 0.0000
Cu2 0.2321 0.5000 0.1547
Ge1 0.0615 0.5000 0.7524
```

Summary:
For the total energy, the calculation gives -3.78 eV per atom. The value obtained for the density is 6.0 g cm⁻³. Its distance to the lowest polymorph of the same formula is 0.00 eV per formula unit.



VASP calculation (PBE) on an optimized crystal structure of LiCu6Ge2.

```
data_LiCu6Ge2
_chemical_formula_sum 'Li1 Cu6 Ge2'
_cell_length_a 3.9184
_cell_length_b 3.9184
_cell_length_c 8.4515
_cell_angle_alpha 90.00
_cell_angle_beta 90.00
_cell_angle_gamma 90.00
_symmetry_space_group_name_H-M 'P 4/m m m'
_symmetry_Int_Tables_number 123
_symmetry_space_group_name_Hall '-P 4 2'
loop_
_atom_site_label
_atom_site_fract_x
_atom_site_fract_y
_atom_site_fract_z
Li1 0.0000 0.0000 0.0000
Cu1 0.0000 0.0000 0.5000
Cu2 0.0000 0.5000 0.3091
Cu3 0.5000 0.5000 0.5000
Ge1 0.5000 0.5000 0.1432
```

Summary:
For the total energy, the calculation gives -3.98 eV per atom. The value obtained for the density is 6.8 g cm⁻³.



VASP calculation (PBE) on an optimized crystal structure of LiCu5Ge.

```
data_LiCu5Ge
_chemical_formula_sum 'Li4 Cu20 Ge4'
_cell_length_a 6.7043
_cell_length_b 5.6751
_cell_length_c 9.6518
_cell_angle_alpha 90.00
_cell_angle_beta 90.00
_cell_angle_gamma 90.00
_symmetry_space_group_name_H-M 'C m c m'
_symmetry_Int_Tables_number 63
_symmetry_space_group_name_Hall '-C 2c 2'
loop_
_atom_site_label
_atom_site_fract_x
_atom_site_fract_y
_atom_site_fract_z
Li1 0.0000 0.1587 0.2500
Cu1 0.0000 0.4236 0.7500
Cu2 0.1974 0.1396 0.6136
Ge1 0.0000 0.5000 0.0000
```

Summary:
For the total energy, the calculation gives -3.86 eV per atom. The value obtained for the density is 7.2 g cm⁻³.



VASP calculation (PBE) on an optimized crystal structure of Li2Cu2Ge.

```
data_Li2Cu2Ge
_chemical_formula_sum 'Li4 Cu4 Ge2'
_cell_length_a 6.8812
_cell_length_b 6.8812
_cell_length_c 2.8547
_cell_angle_alpha 90.00
_cell_angle_beta 90.00
_cell_angle_gamma 90.00
_symmetry_space_group_name_H-M 'P 4/m b m'
_symmetry_Int_Tables_number 127
_symmetry_space_group_name_Hall '-P 4 2ab'
loop_
_atom_site_label
_atom_site_fract_x
_atom_site_fract_y
_atom_site_fract_z
Li1 0.1464 0.3536 0.0000
Cu1 0.1451 0.6451 0.5000
Ge1 0.0000 0.0000 0.0000
```

Summary:
For the total energy, the calculation gives -3.28 eV per atom. The value obtained for the density is 5.2 g cm⁻³. Its distance to the lowest polymorph of the same formula is 1.32 eV per formula unit.